[1]
A plane-wave DFT calculation with PBE-GGA was carried out for a relaxed Li2PSe5 crystal.

Lattice parameters (Å, degrees): 8.579 4.667 7.794 106.22 133.53 91.39
Fractional coordinates of all 8 atoms:
Li 0.255 0.536 0.298
Li 0.748 0.129 0.489
P 0.900 0.036 0.013
Se 0.666 0.306 0.982
Se 0.193 0.399 0.911
Se 0.964 0.791 0.272
Se 0.370 0.893 0.983
Se 0.682 0.686 0.608

Values from the calculation:
The calculation puts the uncorrected formation energy at -0.398 eV/atom. The calculation puts the total magnetization at 0.000 μB per atom.

=====

[2]
A plane-wave DFT calculation with PBE-GGA was carried out for a relaxed Li3PSe crystal.

Lattice parameters (Å, degrees): 4.617 4.617 4.617 90.00 90.00 90.00
Fractional coordinates of all 5 atoms:
P 0.000 0.000 0.000
Se 0.500 0.500 0.500
Li 0.000 0.500 0.000
Li 0.000 0.000 0.500
Li 0.500 0.000 0.000

Values from the calculation:
The calculation puts the uncorrected formation energy at -0.313 eV/atom. For the polymorph energy (0 for the lowest one), the calculation gives 42 meV per atom. The calculation puts the total magnetization at 0.000 μB per atom.

=====

[3]
A plane-wave DFT calculation with PBE-GGA was carried out for a relaxed Li10SiP2Se12 crystal.

Lattice parameters (Å, degrees): 9.256 9.256 13.347 90.00 90.00 90.00
Fractional coordinates of all 50 atoms:
Li 0.240 0.272 0.294
Li 0.760 0.728 0.294
Li 0.272 0.760 0.794
Li 0.728 0.240 0.794
Li 0.240 0.728 0.294
Li 0.760 0.272 0.294
Li 0.272 0.240 0.794
Li 0.728 0.760 0.794
Li 0.000 0.000 0.945
Li 0.000 0.000 0.445
Li 0.500 0.500 0.550
Li 0.500 0.500 0.050
Li 0.259 0.743 0.026
Li 0.741 0.257 0.026
Li 0.257 0.259 0.526
Li 0.743 0.741 0.526
Li 0.257 0.741 0.526
Li 0.743 0.259 0.526
Li 0.259 0.257 0.026
Li 0.741 0.743 0.026
Si 0.500 0.500 0.803
Si 0.500 0.500 0.303
P 0.000 0.000 0.688
P 0.000 0.000 0.188
P 0.000 0.500 0.507
P 0.500 0.000 0.007
Se 0.000 0.699 0.410
Se 0.000 0.301 0.410
Se 0.301 0.000 0.910
Se 0.699 0.000 0.910
Se 0.500 0.195 0.103
Se 0.500 0.805 0.103
Se 0.195 0.500 0.603
Se 0.805 0.500 0.603
Se 0.000 0.797 0.096
Se 0.000 0.203 0.096
Se 0.203 0.000 0.596
Se 0.797 0.000 0.596
Se 0.500 0.293 0.403
Se 0.500 0.707 0.403
Se 0.293 0.500 0.903
Se 0.707 0.500 0.903
Se 0.000 0.197 0.783
Se 0.000 0.803 0.783
Se 0.803 0.000 0.283
Se 0.197 0.000 0.283
Se 0.500 0.701 0.703
Se 0.500 0.299 0.703
Se 0.701 0.500 0.203
Se 0.299 0.500 0.203

Values from the calculation:
The calculation puts the uncorrected formation energy at -0.840 eV/atom. The calculation puts the total magnetization at 0.000 μB per atom.

=====

[4]
A plane-wave DFT calculation with PBE-GGA was carried out for a relaxed Li10SnP2Se12 crystal.

Lattice parameters (Å, degrees): 9.309 9.309 13.514 90.00 90.00 90.00
Fractional coordinates of all 50 atoms:
Li 0.223 0.275 0.292
Li 0.777 0.725 0.292
Li 0.275 0.777 0.792
Li 0.725 0.223 0.792
Li 0.223 0.725 0.292
Li 0.777 0.275 0.292
Li 0.275 0.223 0.792
Li 0.725 0.777 0.792
Li 0.000 0.000 0.945
Li 0.000 0.000 0.445
Li 0.500 0.500 0.547
Li 0.500 0.500 0.047
Li 0.258 0.729 0.034
Li 0.742 0.271 0.034
Li 0.271 0.258 0.534
Li 0.729 0.742 0.534
Li 0.271 0.742 0.534
Li 0.729 0.258 0.534
Li 0.258 0.271 0.034
Li 0.742 0.729 0.034
Sn 0.500 0.500 0.802
Sn 0.500 0.500 0.302
P 0.000 0.000 0.688
P 0.000 0.000 0.188
P 0.000 0.500 0.505
P 0.500 0.000 0.005
Se 0.000 0.700 0.412
Se 0.000 0.300 0.412
Se 0.300 0.000 0.912
Se 0.700 0.000 0.912
Se 0.500 0.194 0.100
Se 0.500 0.806 0.100
Se 0.194 0.500 0.600
Se 0.806 0.500 0.600
Se 0.000 0.800 0.096
Se 0.000 0.200 0.096
Se 0.200 0.000 0.596
Se 0.800 0.000 0.596
Se 0.500 0.273 0.409
Se 0.500 0.727 0.409
Se 0.273 0.500 0.909
Se 0.727 0.500 0.909
Se 0.000 0.196 0.782
Se 0.000 0.804 0.782
Se 0.804 0.000 0.282
Se 0.196 0.000 0.282
Se 0.500 0.722 0.691
Se 0.500 0.278 0.691
Se 0.722 0.500 0.191
Se 0.278 0.500 0.191

Values from the calculation:
The calculation puts the uncorrected formation energy at -0.817 eV/atom. For the polymorph energy (0 for the lowest one), the calculation gives 13 meV per atom. The calculation puts the total magnetization at 0.000 μB per atom.

=====

[5]
A plane-wave DFT calculation with PBE-GGA was carried out for a relaxed Li10SnP2Se12 crystal.

Lattice parameters (Å, degrees): 9.038 9.438 13.853 91.49 90.52 90.46
Fractional coordinates of all 50 atoms:
Li 0.989 0.523 0.958
Li 0.962 0.519 0.423
Li 0.509 0.953 0.537
Li 0.498 0.990 0.050
Li 0.257 0.295 0.160
Li 0.745 0.753 0.289
Li 0.216 0.815 0.760
Li 0.239 0.756 0.252
Li 0.755 0.213 0.352
Li 0.453 0.509 0.749
Li 0.227 0.219 0.363
Li 0.741 0.267 0.855
Li 0.249 0.765 0.008
Li 0.729 0.267 0.133
Li 0.763 0.713 0.687
Li 0.227 0.266 0.927
Li 0.747 0.766 0.010
Li 0.239 0.714 0.484
Li 0.794 0.210 0.623
Li 0.247 0.207 0.646
Sn 0.990 0.493 0.186
Sn 0.514 0.997 0.816
P 0.993 0.961 0.504
P 0.490 0.522 0.991
P 0.015 0.475 0.683
P 0.486 0.011 0.309
Se 0.988 0.181 0.450
Se 0.006 0.792 0.386
Se 0.286 0.543 0.898
Se 0.690 0.542 0.897
Se 0.496 0.700 0.101
Se 0.477 0.308 0.054
Se 0.203 0.936 0.591
Se 0.794 0.937 0.593
Se 0.001 0.287 0.061
Se 0.001 0.730 0.101
Se 0.227 0.483 0.601
Se 0.818 0.486 0.584
Se 0.483 0.794 0.371
Se 0.494 0.178 0.425
Se 0.269 0.992 0.910
Se 0.732 0.010 0.932
Se 0.990 0.656 0.789
Se 0.009 0.269 0.759
Se 0.755 0.466 0.283
Se 0.211 0.478 0.302
Se 0.527 0.222 0.714
Se 0.490 0.786 0.694
Se 0.691 0.016 0.219
Se 0.286 0.033 0.215

Values from the calculation:
The calculation puts the uncorrected formation energy at -0.830 eV/atom. For the polymorph energy (0 for the lowest one), the calculation gives 0 meV per atom. The calculation puts the total magnetization at 0.000 μB per atom.

=====

[6]
A plane-wave DFT calculation with PBE-GGA was carried out for a relaxed LiTm6P2Se3 crystal.

Lattice parameters (Å, degrees): 3.975 8.087 8.973 103.29 102.80 90.00
Fractional coordinates of all 12 atoms:
Li 0.500 0.000 0.000
Tm 0.330 0.899 0.660
Tm 0.673 0.572 0.345
Tm 0.670 0.101 0.340
Tm 0.005 0.260 0.010
Tm 0.995 0.740 0.990
Tm 0.327 0.428 0.655
P 0.833 0.665 0.667
P 0.167 0.335 0.333
Se 0.500 0.500 0.000
Se 0.834 0.168 0.668
Se 0.166 0.832 0.332

Values from the calculation:
The calculation puts the uncorrected formation energy at -1.337 eV/atom. The calculation puts the total magnetization at 0.000 μB per atom.

=====

[7]
A plane-wave DFT calculation with PBE-GGA was carried out for a relaxed LiY6P2Se3 crystal.

Lattice parameters (Å, degrees): 4.052 8.220 9.117 103.23 102.84 90.00
Fractional coordinates of all 12 atoms:
Li 0.500 0.000 0.000
Y 0.328 0.898 0.657
Y 0.672 0.572 0.345
Y 0.672 0.102 0.343
Y 0.005 0.263 0.010
Y 0.995 0.737 0.990
Y 0.328 0.428 0.655
P 0.833 0.666 0.667
P 0.167 0.334 0.333
Se 0.500 0.500 0.000
Se 0.835 0.167 0.670
Se 0.165 0.833 0.330

Values from the calculation:
The calculation puts the uncorrected formation energy at -1.411 eV/atom. The calculation puts the total magnetization at 0.000 μB per atom.

=====

[8]
A plane-wave DFT calculation with PBE-GGA was carried out for a relaxed Li2ZnPSe4 crystal.

Lattice parameters (Å, degrees): 5.920 5.918 6.884 115.47 115.48 90.01
Fractional coordinates of all 8 atoms:
Li 0.486 0.986 0.971
Li 0.235 0.236 0.472
Zn 0.986 0.486 0.972
P 0.736 0.736 0.472
Se 0.628 0.618 0.717
Se 0.853 0.383 0.227
Se 0.373 0.844 0.227
Se 0.089 0.098 0.717

Values from the calculation:
The calculation puts the uncorrected formation energy at -0.581 eV/atom. The calculation puts the total magnetization at 0.000 μB per atom.

=====

[9]
A plane-wave DFT calculation with PBE-GGA was carried out for a relaxed LiSiP2 crystal.

Lattice parameters (Å, degrees): 4.233 4.233 3.289 90.00 90.00 105.72
Fractional coordinates of all 4 atoms:
Li 0.000 0.500 0.500
P 0.000 0.000 0.000
P 0.500 0.500 0.000
Si 0.500 0.000 0.500

Values from the calculation:
The calculation puts the uncorrected formation energy at 0.110 eV/atom. The calculation puts the total magnetization at 0.000 μB per atom.

=====

[10]
A plane-wave DFT calculation with PBE-GGA was carried out for a relaxed Li2SiP crystal.

Lattice parameters (Å, degrees): 3.672 3.672 4.015 90.00 90.00 90.00
Fractional coordinates of all 4 atoms:
Li 0.000 0.000 0.000
Li 0.500 0.500 0.000
P 0.500 0.000 0.500
Si 0.000 0.500 0.500

Values from the calculation:
The calculation puts the uncorrected formation energy at -0.282 eV/atom. For the polymorph energy (0 for the lowest one), the calculation gives 0 meV per atom. The calculation puts the total magnetization at 0.000 μB per atom.

=====

[11]
A plane-wave DFT calculation with PBE-GGA was carried out for a relaxed LiSiP2 crystal.

Lattice parameters (Å, degrees): 4.556 4.556 4.556 127.69 127.69 77.13
Fractional coordinates of all 4 atoms:
Li 0.750 0.250 0.500
P 0.000 0.000 0.000
P 0.500 0.500 0.000
Si 0.250 0.750 0.500

Values from the calculation:
The calculation puts the uncorrected formation energy at 0.204 eV/atom. The calculation puts the total magnetization at 0.000 μB per atom.

=====

[12]
A plane-wave DFT calculation with PBE-GGA was carried out for a relaxed Li2SiP crystal.

Lattice parameters (Å, degrees): 5.934 5.934 5.934 146.35 140.82 52.59
Fractional coordinates of all 4 atoms:
Li 0.998 0.998 0.000
Li 0.229 0.729 0.500
P 0.565 0.565 0.000
Si 0.708 0.208 0.500

Values from the calculation:
The calculation puts the uncorrected formation energy at -0.266 eV/atom. For the polymorph energy (0 for the lowest one), the calculation gives 16 meV per atom. The calculation puts the total magnetization at 0.000 μB per atom.

=====

[13]
A plane-wave DFT calculation with PBE-GGA was carried out for a relaxed LiSiP3 crystal.

Lattice parameters (Å, degrees): 4.572 4.572 4.572 90.00 90.00 90.00
Fractional coordinates of all 5 atoms:
P 0.000 0.500 0.000
P 0.000 0.000 0.500
P 0.500 0.000 0.000
Si 0.000 0.000 0.000
Li 0.500 0.500 0.500

Values from the calculation:
The calculation puts the uncorrected formation energy at 0.514 eV/atom. For the polymorph energy (0 for the lowest one), the calculation gives 0 meV per atom. The calculation puts the total magnetization at 0.000 μB per atom.

=====

[14]
A plane-wave DFT calculation with PBE-GGA was carried out for a relaxed Li2SiP crystal.

Lattice parameters (Å, degrees): 4.802 4.802 4.802 135.72 134.31 65.51
Fractional coordinates of all 4 atoms:
Li 0.002 0.002 0.000
Li 0.498 0.498 0.000
P 0.250 0.750 0.500
Si 0.750 0.250 0.500

Values from the calculation:
The calculation puts the uncorrected formation energy at -0.264 eV/atom. For the polymorph energy (0 for the lowest one), the calculation gives 18 meV per atom. The calculation puts the total magnetization at 0.000 μB per atom.

=====

[15]
A plane-wave DFT calculation with PBE-GGA was carried out for a relaxed LiSiP2 crystal.

Lattice parameters (Å, degrees): 8.731 8.731 8.731 18.25 18.25 18.25
Fractional coordinates of all 4 atoms:
Li 0.750 0.750 0.750
P 0.003 0.003 0.003
P 0.497 0.497 0.497
Si 0.250 0.250 0.250

Values from the calculation:
The calculation puts the uncorrected formation energy at 0.286 eV/atom. The calculation puts the total magnetization at 0.000 μB per atom.

=====

[16]
A plane-wave DFT calculation with PBE-GGA was carried out for a relaxed LiSiP2 crystal.

Lattice parameters (Å, degrees): 2.564 2.564 9.336 90.00 90.00 95.22
Fractional coordinates of all 4 atoms:
Li 0.500 0.500 0.741
P 0.000 0.000 0.944
P 0.500 0.500 0.304
Si 0.000 0.000 0.511

Values from the calculation:
The calculation puts the uncorrected formation energy at 0.252 eV/atom. The calculation puts the total magnetization at 0.000 μB per atom.

=====

[17]
A plane-wave DFT calculation with PBE-GGA was carried out for a relaxed LiSiP2 crystal.

Lattice parameters (Å, degrees): 3.237 3.113 6.815 90.00 90.00 90.00
Fractional coordinates of all 4 atoms:
Li 0.500 0.500 0.957
P 0.000 0.000 0.773
P 0.500 0.500 0.326
Si 0.000 0.000 0.443

Values from the calculation:
The calculation puts the uncorrected formation energy at -0.114 eV/atom. The calculation puts the total magnetization at 0.000 μB per atom.

=====

[18]
A plane-wave DFT calculation with PBE-GGA was carried out for a relaxed LiSiP2 crystal.

Lattice parameters (Å, degrees): 4.799 4.799 4.799 139.10 116.38 78.45
Fractional coordinates of all 4 atoms:
Li 0.250 0.750 0.500
P 0.966 0.966 0.000
P 0.534 0.534 0.000
Si 0.750 0.250 0.500

Values from the calculation:
The calculation puts the uncorrected formation energy at 0.109 eV/atom. The calculation puts the total magnetization at 0.000 μB per atom.

=====

[19]
A plane-wave DFT calculation with PBE-GGA was carried out for a relaxed Li2SiP crystal.

Lattice parameters (Å, degrees): 4.831 4.831 4.831 134.49 134.49 66.32
Fractional coordinates of all 4 atoms:
Li 0.000 0.000 0.000
Li 0.250 0.750 0.500
P 0.500 0.500 0.000
Si 0.750 0.250 0.500

Values from the calculation:
The calculation puts the uncorrected formation energy at -0.136 eV/atom. For the polymorph energy (0 for the lowest one), the calculation gives 146 meV per atom. The calculation puts the total magnetization at 0.000 μB per atom.

=====

[20]
A plane-wave DFT calculation with PBE-GGA was carried out for a relaxed LiSiP2 crystal.

Lattice parameters (Å, degrees): 5.625 5.625 3.655 76.39 76.39 35.89
Fractional coordinates of all 4 atoms:
Li 0.205 0.205 0.354
P 0.011 0.011 0.925
P 0.822 0.822 0.790
Si 0.461 0.461 0.431

Values from the calculation:
The calculation puts the uncorrected formation energy at -0.038 eV/atom. The calculation puts the total magnetization at 0.000 μB per atom.